Computed, not measured: a geometry-optimized AgBiAu structure at the PBE level of DFT.

Values from the calculation:
E above lowest polymorph: 159 meV/atom
calculated volume: 137.4 Å³ per cell
uncorrected energy: -0.2345 Ry/atom
formation enthalpy at 0 K: 145.3 meV per atom
Fermi-level density of states: 0.25 states/eV per atom
ρ: 12.422 g/cm3

Cell: 3.3367 3.3359 14.2518 Å, 90.00 90.00 120.01°
Closest atoms and distances in Å follow each position.
Element x y z (fractional)
1 Ag 0.5560 0.1119 0.6485  3 Au 2.86, 3 Bi 3.18
2 Ag 0.5560 0.1119 0.3515  3 Au 2.86, 3 Bi 3.18
3 Au 0.8879 0.7758 0.0000  6 Bi 3.14, 6 Au 3.34
4 Au 0.2227 0.4454 0.5000  6 Ag 2.86
5 Bi 0.2220 0.4441 0.1740  3 Au 3.14, 3 Ag 3.18, 6 Bi 3.34
6 Bi 0.2220 0.4441 0.8260  3 Au 3.14, 3 Ag 3.18, 6 Bi 3.34